A PBEsol-optimized structure of K2Cr2CuP2O14. Source: the Alexandria database, functional meta-GGA SCAN.

The structure in POSCAR format:
```
K2Cr2CuP2O14
1.0
9.4402 0.0000 0.0000
0.0000 6.9712 0.0000
-0.2250 0.0000 8.7419
K Cr Cu P O
4 4 2 4 28
direct
0.2005 0.1428 0.1612
0.2005 0.3572 0.6612
0.7995 0.6428 0.3388
0.7995 0.8572 0.8388
0.1504 0.6335 0.1029
0.1504 0.8665 0.6029
0.8496 0.1335 0.3971
0.8496 0.3665 0.8971
0.5000 0.0000 0.5000
0.5000 0.5000 0.0000
0.3957 0.6329 0.3112
0.3957 0.8671 0.8112
0.6043 0.1329 0.1888
0.6043 0.3671 0.6888
0.0406 0.5149 0.2031
0.0406 0.9851 0.7031
0.0703 0.7056 0.5028
0.0703 0.7944 0.0028
0.2399 0.0158 0.5000
0.2399 0.4842 0.0000
0.2815 0.7412 0.7228
0.2815 0.7588 0.2228
0.3265 0.0457 0.8726
0.3265 0.4543 0.3726
0.4674 0.7487 0.4425
0.4674 0.7513 0.9425
0.4813 0.0817 0.2982
0.4813 0.4183 0.7982
0.5187 0.5817 0.2018
0.5187 0.9183 0.7018
0.5326 0.2487 0.0575
0.5326 0.2513 0.5575
0.6735 0.5457 0.6274
0.6735 0.9543 0.1274
0.7185 0.2412 0.7772
0.7185 0.2588 0.2772
0.7601 0.5158 0.0000
0.7601 0.9842 0.5000
0.9297 0.2056 0.9972
0.9297 0.2944 0.4972
0.9594 0.0149 0.2969
0.9594 0.4851 0.7969
```

Properties
Energy in eV/atom: -10.28
M_tot in μB/cell: 2.18
Symmetry: P2_1/c